Material: CsVCuO4
Method: DFT, PBE+U
State: optimized geometry

Properties
V	18.2	Å³ per atom
total DFT energy (no corrections)	-42.7	eV per formula unit

a = 5.3537 Å, b = 5.7896 Å, c = 8.8172 Å
α = 90.00°, β = 110.90°, γ = 90.00°
With the nearest neighbours (Å) after each atom.
Atoms (fractional coordinates):
V1 0.8244 0.2500 0.7006  4 O 1.69-1.82
V2 0.1756 0.7500 0.2994  4 O 1.69-1.82
O1 0.0070 0.4892 0.6547  1 V 1.82, 1 Cu 1.99
O2 0.0070 0.0108 0.6547  1 V 1.82, 1 Cu 1.99
O3 0.9930 0.5108 0.3453  1 V 1.82, 1 Cu 1.99
O4 0.9930 0.9892 0.3453  1 V 1.82, 1 Cu 1.99
O5 0.5003 0.7500 0.4239  1 V 1.69
O6 0.4997 0.2500 0.5761  1 V 1.69
O7 0.8438 0.2500 0.8961  1 V 1.69
O8 0.1562 0.7500 0.1039  1 V 1.69
Cs1 0.5545 0.7500 0.8439  5 O 3.19-3.24
Cs2 0.4455 0.2500 0.1561  5 O 3.19-3.24
Cu1 0.9094 0.7500 0.4968  5 O 1.99-2.08
Cu2 0.0906 0.2500 0.5032  5 O 1.99-2.08